Entry from Alexandria: a relaxed YInRe3 crystal (GGA-PBE).

Summary:
**Energy of formation**: 2220 meV per atom
**Space-group type**: Pm-3m (221)
**Electronic total energy**: -35.45 eV/f.u.

```
5
Lattice="-1.240 -3.558 -3.097 -2.463 -2.242 3.563 -4.023 2.470 -1.227" Properties=species:S:1:pos:R:3 pbc="T T T"
Re -1.231 -1.121 1.782
Re -0.620 -1.779 -1.548
Y -3.863 -1.665 -0.380
Re -2.011 1.235 -0.613
In 0.000 0.000 0.000
```